Entry 1:
First-principles (PBE) data for a relaxed structure of Ca2Cu2Si, as listed in Alexandria.

a b c (Å): 6.689 6.689 4.504
angles (deg): 90.00 90.00 90.00
Atoms (fractional coordinates):
Ca  0.187  0.687  0.500
Ca  0.687  0.813  0.500
Ca  0.813  0.313  0.500
Ca  0.313  0.187  0.500
Si  0.000  0.000  0.000
Si  0.500  0.500  0.000
Cu  0.370  0.870  0.000
Cu  0.870  0.630  0.000
Cu  0.630  0.130  0.000
Cu  0.130  0.370  0.000

The value obtained for the uncorrected formation energy is -0.151 eV/atom. As for the space group: No. 127. The total energy is -3.675 eV/atom.

Entry 2:
First-principles (PBE) data for a relaxed structure of Ca3Cu4Si2, as listed in Alexandria.

a b c (Å): 4.137 5.767 8.533
angles (deg): 70.82 75.97 68.98
Atoms (fractional coordinates):
Ca  0.375  0.557  0.694
Ca  0.000  0.000  0.000
Ca  0.625  0.443  0.306
Cu  0.278  0.379  0.065
Cu  0.722  0.621  0.935
Cu  0.154  0.129  0.563
Cu  0.846  0.871  0.437
Si  0.347  0.007  0.300
Si  0.653  0.993  0.700

The value obtained for the uncorrected formation energy is -0.286 eV/atom. As for the space group: No. 12. The total energy is -3.979 eV/atom.

Entry 3:
First-principles (PBE) data for a relaxed structure of CaCuSi, as listed in Alexandria.

a b c (Å): 4.203 5.587 5.672
angles (deg): 77.80 68.26 67.91
Atoms (fractional coordinates):
Ca  0.943  0.796  0.319
Ca  0.057  0.204  0.681
Cu  0.696  0.396  0.213
Cu  0.304  0.604  0.787
Si  0.348  0.210  0.094
Si  0.652  0.790  0.906

The value obtained for the uncorrected formation energy is -0.374 eV/atom. As for the space group: No. 12. The total energy is -4.214 eV/atom.

Entry 4:
First-principles (PBE) data for a relaxed structure of CaCu2Si, as listed in Alexandria.

a b c (Å): 4.246 6.499 9.743
angles (deg): 90.00 90.00 90.00
Atoms (fractional coordinates):
Ca  0.750  0.762  0.335
Ca  0.750  0.262  0.165
Ca  0.250  0.238  0.665
Ca  0.250  0.738  0.835
Cu  0.750  0.700  0.041
Cu  0.250  0.300  0.959
Cu  0.750  0.200  0.459
Cu  0.250  0.800  0.541
Cu  0.750  0.049  0.892
Cu  0.250  0.451  0.392
Cu  0.750  0.549  0.608
Cu  0.250  0.951  0.108
Si  0.250  0.086  0.359
Si  0.750  0.914  0.641
Si  0.250  0.586  0.141
Si  0.750  0.414  0.859

The value obtained for the uncorrected formation energy is -0.236 eV/atom. As for the space group: No. 62. The total energy is -4.140 eV/atom.

Entry 5:
First-principles (PBE) data for a relaxed structure of Ca2CuSi2, as listed in Alexandria.

a b c (Å): 5.887 5.887 5.410
angles (deg): 57.04 57.04 90.00
Atoms (fractional coordinates):
Ca  0.750  0.250  0.500
Ca  0.250  0.750  0.500
Si  0.333  0.333  0.335
Si  0.667  0.667  0.665
Cu  0.000  0.000  0.000

The value obtained for the uncorrected formation energy is 0.006 eV/atom. As for the space group: No. 139. The total energy is -3.783 eV/atom.

Entry 6:
First-principles (PBE) data for a relaxed structure of CaCu2Si, as listed in Alexandria.

a b c (Å): 4.055 3.087 5.827
angles (deg): 74.55 90.00 90.00
Atoms (fractional coordinates):
Ca  0.500  0.698  0.728
Cu  0.000  0.014  0.099
Cu  0.500  0.445  0.236
Si  0.000  0.343  0.438

The value obtained for the uncorrected formation energy is -0.068 eV/atom. As for the space group: No. 6. The total energy is -3.972 eV/atom.